(1)
The following is a PBE-GGA calculation of a relaxed Ba2LaAuCl crystal, from the Alexandria database.

Unit cell a=6.6438 b=5.5918 c=6.6438 alpha=90.00 beta=90.00 gamma=90.00
Closest atoms and distances in Å follow each position.
Fractional coordinates of all 5 atoms:
Ba1 0.0000 0.0000 0.5000  2 Au 3.32
Ba2 0.5000 0.0000 0.0000  2 Au 3.32
Cl1 0.5000 0.5000 0.5000  8 Ba 4.34, 4 La 4.70
La1 0.0000 0.5000 0.0000  2 Au 2.80
Au1 0.0000 0.0000 0.0000  2 La 2.80

Output
spin magnetization = 0.00 μB per cell
symmetry = P4/mmm
formation energy (no corrections) = -545 meV per atom

(2)
The following is a PBE-GGA calculation of a relaxed Ba2MgAuCl crystal, from the Alexandria database.

Unit cell a=6.5952 b=4.9164 c=6.5952 alpha=90.00 beta=90.00 gamma=90.00
Closest atoms and distances in Å follow each position.
Fractional coordinates of all 5 atoms:
Ba1 0.0000 0.0000 0.5000  2 Mg 3.30
Ba2 0.5000 0.0000 0.0000  2 Mg 3.30
Au1 0.0000 0.5000 0.0000  2 Mg 2.46
Mg1 0.0000 0.0000 0.0000  2 Au 2.46
Cl1 0.5000 0.5000 0.5000  8 Ba 4.11

Output
spin magnetization = 0.00 μB per cell
symmetry = P4/mmm
formation energy (no corrections) = -496 meV per atom

Q: Which formula does entry 2 have?
A: Ba2MgAuCl